(1)
Material: MgAl2F6
Method: DFT, PBE
State: optimized geometry

abc: 2.9789 6.2723 7.0737
angles: 117.32 90.00 103.74
Atoms (fractional coordinates):
Mg: 0.0000 0.0000 0.5000
Al: 0.2057 0.4114 0.3089
Al: 0.7943 0.5886 0.6911
F: 0.3204 0.6407 0.8618
F: 0.9510 0.9020 0.7311
F: 0.6796 0.3593 0.1382
F: 0.3761 0.7523 0.3507
F: 0.6239 0.2477 0.6493
F: 0.0490 0.0980 0.2689

Calculated values
As for the electronic total energy: -48.07 eV per cell. The total magnetic moment is 0.22 μB/cell. Its crystal system is monoclinic. For the volume, the calculation gives 113 Å³ per cell. The formation energy (no corrections) is -27.76 eV/f.u.


(2)
Material: TbSm3Y8
Method: DFT, PBE
State: optimized geometry

abc: 8.5223 8.5158 8.5249
angles: 95.94 100.01 136.25
Atoms (fractional coordinates):
Sm: 0.1689 0.6695 0.4998
Sm: 0.4978 0.7468 0.2498
Sm: 0.4977 0.2476 0.7507
Y: 0.8336 0.2484 0.0834
Y: 0.5005 0.1671 0.3330
Y: 0.8338 0.1678 0.6665
Y: 0.5011 0.6669 0.8338
Y: 0.1660 0.2490 0.4157
Y: 0.8325 0.6674 0.1655
Y: 0.8336 0.7498 0.5847
Y: 0.1658 0.7503 0.9171
Tb: 0.1687 0.1693 0.9998

Calculated values
Its formation energy is 0.010 eV per atom. As for the electronic total energy: -70.38 eV per cell. The total magnetic moment is 0.00 μB/cell. Its crystal system is monoclinic. For the volume, the calculation gives 397 Å³ per cell.


(3)
Material: Na3Mg2Cd4
Method: DFT, PBE
State: optimized geometry

abc: 5.1344 6.1202 9.5340
angles: 121.27 90.00 114.80
Atoms (fractional coordinates):
Mg: 0.6173 0.2346 0.2843
Mg: 0.3827 0.7654 0.7157
Na: 0.3357 0.6715 0.3302
Na: 0.0000 0.0000 0.0000
Na: 0.6643 0.3285 0.6698
Cd: 0.2776 0.5551 0.9435
Cd: 0.7224 0.4449 0.0565
Cd: 0.9467 0.8934 0.6136
Cd: 0.0533 0.1066 0.3864

Calculated values
Its formation energy is -0.067 eV per atom. As for the electronic total energy: -11.41 eV per cell. The total magnetic moment is 0.00 μB/cell. Its crystal system is monoclinic. For the volume, the calculation gives 223 Å³ per cell.


(4)
Material: Pm2ErRu
Method: DFT, PBE
State: optimized geometry

abc: 4.0089 6.3134 9.2669
angles: 90.00 90.00 108.51
Atoms (fractional coordinates):
Ru: 0.7401 0.4801 0.7500
Ru: 0.2599 0.5199 0.2500
Pm: 0.3594 0.7188 0.9323
Pm: 0.3594 0.7188 0.5677
Pm: 0.6406 0.2812 0.0677
Pm: 0.6406 0.2812 0.4323
Er: 0.9195 0.8392 0.2500
Er: 0.0805 0.1608 0.7500

Calculated values
Its formation energy is -0.232 eV per atom. As for the electronic total energy: -48.53 eV per cell. The total magnetic moment is 0.00 μB/cell. Its crystal system is orthorhombic. For the volume, the calculation gives 222 Å³ per cell.


(5)
Material: PmCdAg2
Method: DFT, PBE
State: optimized geometry

abc: 4.0732 4.7971 4.7971
angles: 90.00 90.00 90.00
Atoms (fractional coordinates):
Ag: 0.0000 0.0000 0.5000
Ag: 0.0000 0.5000 0.0000
Cd: 0.5000 0.5000 0.5000
Pm: 0.5000 0.0000 0.0000

Calculated values
Its formation energy is -0.125 eV per atom. As for the electronic total energy: -11.87 eV per cell. The total magnetic moment is 0.00 μB/cell. Its crystal system is tetragonal. For the volume, the calculation gives 94 Å³ per cell.


(6)
Material: HoPb2S4
Method: DFT, PBE
State: optimized geometry

abc: 3.8781 7.1197 13.3808
angles: 90.00 90.00 105.80
Atoms (fractional coordinates):
S: 0.5000 0.0000 0.0000
S: 0.2098 0.4197 0.6307
S: 0.2098 0.4197 0.8693
S: 0.7902 0.5803 0.1307
S: 0.0225 0.0449 0.2500
S: 0.5000 0.0000 0.5000
S: 0.9775 0.9551 0.7500
S: 0.7902 0.5803 0.3693
Ho: 0.3830 0.7660 0.2500
Ho: 0.6170 0.2340 0.7500
Pb: 0.8687 0.7375 0.9305
Pb: 0.1313 0.2625 0.4305
Pb: 0.1313 0.2625 0.0695
Pb: 0.8687 0.7375 0.5695

Calculated values
As for the electronic total energy: -69.63 eV per cell. The total magnetic moment is 0.00 μB/cell. Its crystal system is orthorhombic. For the volume, the calculation gives 355 Å³ per cell. The formation energy (no corrections) is -6.31 eV/f.u.


(7)
Material: LaDy4Tm4
Method: DFT, PBE
State: optimized geometry

abc: 9.1201 9.1159 11.5675
angles: 97.39 97.53 140.12
Atoms (fractional coordinates):
La: 0.9379 0.9380 0.2239
La: 0.0621 0.0620 0.7761
Dy: 0.1588 0.5364 0.8328
Dy: 0.2823 0.2821 0.5577
Dy: 0.8412 0.4636 0.1672
Dy: 0.7177 0.7179 0.4423
Dy: 0.3855 0.3859 0.1122
Dy: 0.4641 0.8421 0.1678
Dy: 0.6145 0.6141 0.8878
Dy: 0.5359 0.1579 0.8322
Tm: 0.1921 0.4752 0.3367
Tm: 0.4752 0.1923 0.3367
Tm: 0.1872 0.8120 0.4998
Tm: 0.8128 0.1880 0.5002
Tm: 0.1438 0.8569 0.0000
Tm: 0.8079 0.5248 0.6633
Tm: 0.5248 0.8077 0.6633
Tm: 0.8562 0.1431 0.0000

Calculated values
Its formation energy is 0.100 eV per atom. As for the electronic total energy: -80.64 eV per cell. The total magnetic moment is 0.00 μB/cell. Its crystal system is triclinic. For the volume, the calculation gives 570 Å³ per cell.


(8)
Material: HfBiSe2N
Method: DFT, PBE
State: optimized geometry

abc: 5.4269 5.4269 4.1345
angles: 90.00 90.00 90.00
Site moments in Bohr magnetons follow the coordinates.
Atoms (fractional coordinates):
Se: 0.5000 0.0000 0.0000  -0.03
Se: 0.0000 0.5000 0.0000  -0.03
Bi: 0.0000 0.0000 0.0000  0.01
N: 0.0000 0.0000 0.5000  -0.10
Hf: 0.5000 0.5000 0.5000  0.49

Calculated values
As for the electronic total energy: -24.18 eV per cell. The total magnetic moment is 0.55 μB/cell. Its crystal system is tetragonal. For the volume, the calculation gives 122 Å³ per cell. The formation energy (no corrections) is 4.95 eV/f.u.


(9)
Material: Tl2HgRh
Method: DFT, PBE
State: optimized geometry

abc: 3.2132 3.2132 9.1599
angles: 90.00 90.00 90.00
Atoms (fractional coordinates):
Hg: 0.5000 0.5000 0.5000
Rh: 0.5000 0.5000 0.0000
Tl: 0.0000 0.0000 0.2003
Tl: 0.0000 0.0000 0.7997

Calculated values
Its formation energy is 0.117 eV per atom. As for the electronic total energy: -11.92 eV per cell. The total magnetic moment is 0.00 μB/cell. Its crystal system is tetragonal. For the volume, the calculation gives 95 Å³ per cell.


(10)
Material: Tb2Sm3Y
Method: DFT, PBE
State: optimized geometry

abc: 3.5652 9.6917 11.5966
angles: 86.17 90.00 90.00
Atoms (fractional coordinates):
Sm: 0.2500 0.0766 0.8808
Sm: 0.7500 0.5990 0.6031
Sm: 0.7500 0.7623 0.8601
Sm: 0.2500 0.2377 0.1399
Sm: 0.2500 0.4010 0.3969
Sm: 0.7500 0.9234 0.1192
Y: 0.7500 0.2418 0.6451
Y: 0.2500 0.7582 0.3549
Tb: 0.2500 0.9173 0.6207
Tb: 0.7500 0.0827 0.3793
Tb: 0.7500 0.5577 0.1434
Tb: 0.2500 0.4423 0.8566

Calculated values
Its formation energy is 0.070 eV per atom. As for the electronic total energy: -58.93 eV per cell. The total magnetic moment is 0.00 μB/cell. Its crystal system is monoclinic. For the volume, the calculation gives 400 Å³ per cell.


(11)
Material: Dy3CdCu
Method: DFT, PBE
State: optimized geometry

abc: 3.7205 9.1007 9.1013
angles: 65.71 90.00 90.00
Atoms (fractional coordinates):
Dy: 0.8633 0.3775 0.8326
Dy: 0.8633 0.0108 0.6603
Dy: 0.3630 0.3688 0.4210
Dy: 0.3630 0.0200 0.0721
Dy: 0.8632 0.6078 0.0631
Dy: 0.8632 0.7801 0.4298
Cd: 0.3632 0.6941 0.7464
Cd: 0.8631 0.1941 0.2467
Cu: 0.3635 0.1941 0.7463
Cu: 0.3634 0.6943 0.2460

Calculated values
Its formation energy is -0.018 eV per atom. As for the electronic total energy: -37.81 eV per cell. The total magnetic moment is 0.00 μB/cell. Its crystal system is orthorhombic. For the volume, the calculation gives 281 Å³ per cell.


(12)
Material: PmDy2Pb
Method: DFT, PBE
State: optimized geometry

abc: 5.4969 5.4969 5.4969
angles: 60.00 60.00 60.00
Site moments in Bohr magnetons follow the coordinates.
Atoms (fractional coordinates):
Dy: 0.2500 0.2500 0.2500  0.08
Dy: 0.7500 0.7500 0.7500  0.08
Pb: 0.5000 0.5000 0.5000  0.00
Pm: 0.0000 0.0000 0.0000  0.09

Calculated values
Its formation energy is -0.091 eV per atom. As for the electronic total energy: -18.03 eV per cell. The total magnetic moment is 0.37 μB/cell. Its crystal system is cubic. For the volume, the calculation gives 117 Å³ per cell.


(13)
Material: Ce2Pr3DySe6
Method: DFT, PBE
State: optimized geometry

abc: 7.2856 7.2856 7.3235
angles: 99.56 99.56 120.08
Site moments in Bohr magnetons follow the coordinates.
Atoms (fractional coordinates):
Pr: 0.5000 0.5000 0.5000  0.00
Pr: 0.8321 0.1679 0.5000  0.00
Pr: 0.1679 0.8321 0.5000  0.00
Se: 0.5926 0.9203 0.7599  -0.01
Se: 0.4074 0.0797 0.2401  -0.01
Se: 0.0797 0.4074 0.2401  -0.01
Se: 0.9203 0.5926 0.7599  -0.01
Se: 0.7535 0.7535 0.2421  -0.01
Se: 0.2465 0.2465 0.7579  -0.01
Dy: 0.0000 0.0000 0.0000  0.03
Ce: 0.6661 0.3339 0.0000  0.77
Ce: 0.3339 0.6661 0.0000  0.77

Calculated values
As for the electronic total energy: -73.63 eV per cell. The total magnetic moment is 1.83 μB/cell. Its crystal system is monoclinic. For the volume, the calculation gives 317 Å³ per cell. The formation energy (no corrections) is -21.91 eV/f.u.


(14)
Material: GeAu3S4
Method: DFT, PBE
State: optimized geometry

abc: 6.8568 6.6142 7.8858
angles: 90.00 90.00 90.00
Atoms (fractional coordinates):
Au: 0.9701 0.6758 0.2522
Au: 0.9704 0.0637 0.5000
Au: 0.4701 0.3242 0.7522
Au: 0.4701 0.3242 0.2478
Au: 0.4704 0.9363 0.0000
Au: 0.9701 0.6758 0.7478
S: 0.6227 0.6781 0.7452
S: 0.6357 0.1563 0.5000
S: 0.6227 0.6781 0.2548
S: 0.1227 0.3219 0.7548
S: 0.1978 0.7912 0.5000
S: 0.1357 0.8437 0.0000
S: 0.1227 0.3219 0.2452
S: 0.6978 0.2088 0.0000
Ge: 0.0257 0.1707 0.0000
Ge: 0.5257 0.8293 0.5000

Calculated values
As for the electronic total energy: -61.93 eV per cell. The total magnetic moment is 0.00 μB/cell. Its crystal system is orthorhombic. For the volume, the calculation gives 358 Å³ per cell. The formation energy (no corrections) is 0.00 eV/f.u.


(15)
Material: TbPmLuPu
Method: DFT, PBE
State: optimized geometry

abc: 5.5928 5.5928 5.5928
angles: 60.00 60.00 60.00
Site moments in Bohr magnetons follow the coordinates.
Atoms (fractional coordinates):
Lu: 0.2500 0.2500 0.2500  -0.29
Pm: 0.0000 0.0000 0.0000  -0.28
Tb: 0.5000 0.5000 0.5000  -0.35
Pu: 0.7500 0.7500 0.7500  -5.63

Calculated values
Its formation energy is 0.199 eV per atom. As for the electronic total energy: -27.44 eV per cell. The total magnetic moment is 7.45 μB/cell. Its crystal system is cubic. For the volume, the calculation gives 124 Å³ per cell.


(16)
Material: BaMgBe2
Method: DFT, PBE
State: optimized geometry

abc: 5.1866 5.1866 5.1866
angles: 124.92 111.09 93.88
Atoms (fractional coordinates):
Be: 0.5943 0.5943 0.0000
Be: 0.9057 0.9057 0.0000
Mg: 0.7500 0.2500 0.5000
Ba: 0.2500 0.7500 0.5000

Calculated values
Its formation energy is 0.564 eV per atom. As for the electronic total energy: -8.71 eV per cell. The total magnetic moment is 0.00 μB/cell. Its crystal system is orthorhombic. For the volume, the calculation gives 100 Å³ per cell.


(17)
Material: Sr2SiSn2
Method: DFT, PBE
State: optimized geometry

abc: 7.7345 7.7345 5.0649
angles: 90.00 90.00 90.00
Atoms (fractional coordinates):
Sn: 0.8635 0.6365 0.0000
Sn: 0.3635 0.8635 0.0000
Sn: 0.1365 0.3635 0.0000
Sn: 0.6365 0.1365 0.0000
Sr: 0.8285 0.3285 0.5000
Sr: 0.3285 0.1715 0.5000
Sr: 0.6715 0.8285 0.5000
Sr: 0.1715 0.6715 0.5000
Si: 0.5000 0.5000 0.0000
Si: 0.0000 0.0000 0.0000

Calculated values
As for the electronic total energy: -36.96 eV per cell. The total magnetic moment is 0.00 μB/cell. Its crystal system is tetragonal. For the volume, the calculation gives 303 Å³ per cell. The formation energy (no corrections) is -1.69 eV/f.u.


(18)
Material: CdRh5
Method: DFT, PBE
State: optimized geometry

abc: 2.7708 2.7708 11.7427
angles: 90.00 90.00 90.00
Atoms (fractional coordinates):
Rh: 0.5000 0.5000 0.1715
Rh: 0.0000 0.0000 0.6507
Rh: 0.5000 0.5000 0.4951
Rh: 0.0000 0.0000 0.3333
Rh: 0.0000 0.0000 0.0160
Cd: 0.5000 0.5000 0.8333

Calculated values
Its formation energy is 0.026 eV per atom. As for the electronic total energy: -37.52 eV per cell. The total magnetic moment is 0.00 μB/cell. Its crystal system is tetragonal. For the volume, the calculation gives 90 Å³ per cell.


(19)
Material: Ac4Tl2Ru
Method: DFT, PBE
State: optimized geometry

abc: 4.3497 7.3478 8.7830
angles: 74.89 75.66 72.78
Atoms (fractional coordinates):
Tl: 0.6288 0.3998 0.3425
Tl: 0.3712 0.6002 0.6575
Ac: 0.0890 0.1697 0.6524
Ac: 0.9110 0.8303 0.3476
Ac: 0.6556 0.7393 0.9495
Ac: 0.3444 0.2607 0.0505
Ru: 0.0000 0.0000 0.0000

Calculated values
Its formation energy is -0.274 eV per atom. As for the electronic total energy: -32.36 eV per cell. The total magnetic moment is 0.00 μB/cell. Its crystal system is monoclinic. For the volume, the calculation gives 254 Å³ per cell.


(20)
Material: ZrAlV
Method: DFT, PBE
State: optimized geometry

abc: 5.2327 5.2327 8.7538
angles: 90.00 90.00 119.63
Atoms (fractional coordinates):
V: 0.8272 0.1728 0.0000
V: 0.8200 0.6452 0.0000
V: 0.3548 0.1800 0.0000
V: 0.1693 0.8307 0.5000
Al: 0.6596 0.8315 0.5000
Al: 0.1685 0.3404 0.5000
Al: 0.0036 0.9964 0.7544
Al: 0.0036 0.9964 0.2456
Zr: 0.6666 0.3334 0.3125
Zr: 0.3302 0.6698 0.1851
Zr: 0.6666 0.3334 0.6875
Zr: 0.3302 0.6698 0.8149

Calculated values
Its formation energy is -0.278 eV per atom. As for the electronic total energy: -88.97 eV per cell. The total magnetic moment is 0.00 μB/cell. Its crystal system is orthorhombic. For the volume, the calculation gives 208 Å³ per cell.